Material: LaFe2As
Method: DFT, GGA-PBE
State: relaxed

The structure in POSCAR format:
```
LaFe2As
1.0
-2.296 -3.181 -0.844
1.300 -2.784 -2.581
1.897 -4.660 2.866
As Fe La
1 2 1
Direct
0.705 0.705 0.884
0.989 0.989 0.034
0.303 0.303 0.091
0.503 0.503 0.490
```

Results
E in eV/atom: -7.071
E_form in eV/atom: -0.4458

***

Material: Dy6HoMg
Method: DFT, GGA-PBE
State: relaxed

The structure in POSCAR format:
```
Dy6HoMg
1.0
-2.403 4.173 -1.308
-1.010 0.539 -5.943
-8.908 -2.380 -0.750
Dy Ho Mg
6 1 1
Direct
0.250 0.873 0.627
0.501 0.247 0.750
0.246 0.385 0.124
0.499 0.753 0.250
0.750 0.127 0.373
0.754 0.615 0.876
0.000 0.500 0.500
0.000 0.000 0.000
```

Results
E in eV/atom: -4.198
E_form in eV/atom: 0.0255
ΔE to the lowest computed polymorph in meV/atom: 0

***

Material: TlH2Pt2
Method: DFT, GGA-PBE
State: relaxed

The structure in POSCAR format:
```
TlH2Pt2
1.0
-7.920 2.282 1.775
-5.453 -2.693 1.603
-1.856 2.916 4.711
Tl H Pt
2 4 4
Direct
0.735 0.044 0.370
0.265 0.956 0.630
0.469 0.166 0.078
0.955 0.704 0.807
0.045 0.296 0.193
0.531 0.834 0.922
0.239 0.877 0.179
0.781 0.542 0.578
0.761 0.123 0.821
0.219 0.458 0.422
```

Results
E in eV/atom: -4.262
ΔE to the lowest computed polymorph in meV/atom: 0

***

Material: Li2ThMg
Method: DFT, GGA-PBE
State: relaxed

The structure in POSCAR format:
```
Li2ThMg
1.0
-1.313 -0.127 -4.870
2.911 -2.421 -3.335
-1.591 -4.317 -2.072
Mg Th Li
1 1 2
Direct
0.500 0.500 0.500
0.000 0.000 0.000
0.250 0.250 0.250
0.750 0.750 0.750
```

Results
E in eV/atom: -3.009
E_form in eV/atom: 0.2014
ΔE to the lowest computed polymorph in meV/atom: 69

***

Material: MnAl2CoPb
Method: DFT, GGA-PBE
State: relaxed

The structure in POSCAR format:
```
MnAl2CoPb
1.0
4.529 0.000 0.000
0.000 4.761 0.000
0.000 0.000 4.529
Pb Mn Co Al
1 1 1 2
Direct
0.500 0.500 0.500
0.000 0.500 0.000
0.000 0.000 0.000
0.000 0.000 0.500
0.500 0.000 0.000
```

Results
E in eV/atom: -5.266
E_form in eV/atom: 0.2279

***

Material: YMgRh3
Method: DFT, GGA-PBE
State: relaxed

The structure in POSCAR format:
```
YMgRh3
1.0
-4.563 -1.165 -1.372
-1.121 -1.087 4.650
-1.408 4.639 0.745
Y Mg Rh
1 1 3
Direct
0.000 0.000 0.000
0.500 0.500 0.500
0.000 0.500 0.000
0.000 0.000 0.500
0.500 0.000 0.000
```

Results
E in eV/atom: -5.183
E_form in eV/atom: 0.8396
ΔE to the lowest computed polymorph in meV/atom: 677

***

Material: Ce2SmHf
Method: DFT, GGA-PBE
State: relaxed

The structure in POSCAR format:
```
Ce2SmHf
1.0
4.972 0.000 0.000
0.000 4.710 0.000
0.000 0.000 4.710
Hf Ce Sm
1 2 1
Direct
0.500 0.000 0.000
0.000 0.000 0.500
0.000 0.500 0.000
0.500 0.500 0.500
```

Results
E in eV/atom: -6.445
E_form in eV/atom: 0.1898
ΔE to the lowest computed polymorph in meV/atom: 44

***

Material: BaLuSe3
Method: DFT, GGA-PBE
State: relaxed

The structure in POSCAR format:
```
BaLuSe3
1.0
-4.967 1.939 -0.855
-2.106 -4.756 1.450
-0.232 1.667 5.131
Lu Ba Se
1 1 3
Direct
0.000 0.000 0.000
0.500 0.500 0.500
0.000 0.500 0.000
0.000 0.000 0.500
0.500 0.000 0.000
```

Results
E in eV/atom: -4.961
Formation energy without anion corrections in eV per formula unit: -7.91

***

Material: Ca4Ho3TmSe8
Method: DFT, GGA-PBE
State: relaxed

The structure in POSCAR format:
```
Ca4Ho3TmSe8
1.0
8.179 0.000 0.000
0.000 8.282 0.067
-4.089 -4.086 5.787
Ca Ho Tm Se
4 3 1 8
Direct
0.500 0.000 0.000
0.500 0.000 0.500
0.000 0.000 0.000
0.000 0.000 0.500
0.500 0.500 0.000
0.500 0.500 0.500
0.000 0.500 0.500
0.000 0.500 0.000
0.247 0.743 0.996
0.247 0.743 0.493
0.252 0.256 0.504
0.750 0.743 0.996
0.250 0.257 0.004
0.748 0.744 0.496
0.753 0.257 0.507
0.753 0.257 0.004
```

Results
E in eV/atom: -5.237
Formation energy without anion corrections in eV per formula unit: -29.70

***

Material: TmCuPt6
Method: DFT, GGA-PBE
State: relaxed

The structure in POSCAR format:
```
TmCuPt6
1.0
4.014 0.000 0.000
0.000 4.014 0.000
0.000 0.000 7.969
Tm Cu Pt
1 1 6
Direct
0.000 0.000 0.000
0.000 0.000 0.500
0.500 0.500 0.000
0.500 0.500 0.500
0.500 0.000 0.264
0.500 0.000 0.736
0.000 0.500 0.264
0.000 0.500 0.736
```

Results
E in eV/atom: -6.176
E_form in eV/atom: -0.5741

***

Material: Zr2ZnAgH
Method: DFT, GGA-PBE
State: relaxed

The structure in POSCAR format:
```
Zr2ZnAgH
1.0
-0.873 2.065 3.732
-4.191 0.294 -1.143
-0.769 -3.701 1.868
H Zn Zr Ag
1 1 2 1
Direct
0.000 0.000 0.000
0.500 0.500 0.500
0.000 0.500 0.000
0.500 0.000 0.000
0.000 0.000 0.500
```

Results
E in eV/atom: -5.091
ΔE to the lowest computed polymorph in meV/atom: 0

***

Material: Sn5H2Br12
Method: DFT, GGA-PBE
State: relaxed

The structure in POSCAR format:
```
Sn5H2Br12
1.0
8.317 0.000 0.000
-4.159 6.762 -3.782
0.000 -0.503 13.106
Sn H Br
5 2 12
Direct
0.340 0.681 0.601
0.289 0.578 0.979
0.000 0.000 0.500
0.711 0.422 0.021
0.660 0.319 0.399
0.732 0.000 0.000
0.268 0.000 0.000
0.897 0.794 0.234
0.129 0.742 0.903
0.613 0.742 0.903
0.117 0.707 0.459
0.589 0.707 0.459
0.543 0.086 0.767
0.457 0.914 0.233
0.883 0.293 0.541
0.411 0.293 0.541
0.871 0.258 0.097
0.387 0.258 0.097
0.103 0.206 0.766
```

Results
E in eV/atom: -3.049